Entry 1:
# Sr3Fe2TeO9, optimized geometry, DFT PBE with a Hubbard U
data_Sr3Fe2TeO9
_chemical_formula_sum 'Sr3 Fe2 Te1 O9'
_space_group_name_H-M_alt 'P -3 m 1'
_space_group_IT_number 164
_space_group_name_Hall '-P 3 2"'
_cell_length_a 5.6501
_cell_length_b 5.6501
_cell_length_c 6.9524
_cell_angle_alpha 90.00
_cell_angle_beta 90.00
_cell_angle_gamma 120.00
loop_
_atom_site_label
_atom_site_type_symbol
_atom_site_fract_x
_atom_site_fract_y
_atom_site_fract_z
Sr1 Sr 0.0000 0.0000 0.0000
Sr2 Sr 0.3333 0.6667 0.3152
Fe1 Fe 0.3333 0.6667 0.8460
Te1 Te 0.0000 0.0000 0.5000
O1 O 0.0000 0.5000 0.0000
O2 O 0.1622 0.3244 0.6609
# Spin magnetization: 9.997 Bohr magnetons per cell

Entry 2:
# SrFeTe2O8, optimized geometry, DFT PBE with a Hubbard U
data_SrFeTe2O8
_chemical_formula_sum 'Sr2 Fe2 Te4 O16'
_space_group_name_H-M_alt 'C m m m'
_space_group_IT_number 65
_space_group_name_Hall '-C 2 2'
_cell_length_a 6.874
_cell_length_b 7.448
_cell_length_c 6.398
_cell_angle_alpha 90.00
_cell_angle_beta 90.00
_cell_angle_gamma 90.00
loop_
_atom_site_label
_atom_site_type_symbol
_atom_site_fract_x
_atom_site_fract_y
_atom_site_fract_z
Sr1 Sr 0.000 0.000 0.000
Fe1 Fe 0.000 0.000 0.500
Te1 Te 0.000 0.500 0.257
O1 O 0.000 0.317 0.500
O2 O 0.000 0.333 0.000
O3 O 0.226 0.000 0.273
# Spin magnetization: 8.022 Bohr magnetons per cell

| no. | volume (Å³ per atom) | final energy (eV for the cell shown) |
| --- | --- | --- |
| 1 | 12.8 | -94.54 |
| 2 | 13.6 | -138.19 |